# BaZr2Ir, relaxed, DFT PBE
# Total magnetic moment ... 0.00 μB/atom
# DOS at the Fermi energy ... 0.889 states/eV per atom
# Symmetry ... Pmmm, No. 47
# Calculated formation energy ... 0.39 eV/atom
data_BaZr2Ir
_chemical_formula_sum 'Ba1 Zr2 Ir1'
_symmetry_space_group_name_H-M 'P 1'
_symmetry_Int_Tables_number 1
_cell_length_a 3.3875
_cell_length_b 5.0893
_cell_length_c 5.3819
_cell_angle_alpha 90.00
_cell_angle_beta 90.00
_cell_angle_gamma 90.00
loop_
_symmetry_equiv_pos_as_xyz
'x,y,z'
loop_
_atom_site_label
_atom_site_type_symbol
_atom_site_fract_x
_atom_site_fract_y
_atom_site_fract_z
_atom_site_occupancy
Ba1 Ba 0.0000 0.0000 0.0000 1
Zr1 Zr 0.0000 0.5000 0.5000 1
Zr2 Zr 0.5000 0.5000 0.0000 1
Ir1 Ir 0.5000 0.0000 0.5000 1